<i>
A relaxed ZrHg2Bi2 crystal, computed with GGA-PBE.

abc: 7.914 7.914 4.418
angles: 90.00 90.00 90.00
Fractional coordinates of all 10 atoms:
Zr 0.000 0.000 0.000
Zr 0.500 0.500 0.000
Hg 0.166 0.334 0.500
Hg 0.334 0.834 0.500
Hg 0.666 0.166 0.500
Hg 0.834 0.666 0.500
Bi 0.146 0.646 0.000
Bi 0.354 0.146 0.000
Bi 0.646 0.854 0.000
Bi 0.854 0.354 0.000

Summary:
V, Å³ per cell: 276.7
N(E_F), states/eV per atom: 0.684

<ii>
A relaxed ZrHg2Bi2 crystal, computed with GGA-PBE.

abc: 7.974 7.974 4.177
angles: 90.00 90.00 90.00
Fractional coordinates of all 10 atoms:
Zr 0.000 0.000 0.000
Zr 0.500 0.500 0.000
Hg 0.134 0.366 0.000
Hg 0.366 0.866 0.000
Hg 0.634 0.134 0.000
Hg 0.866 0.634 0.000
Bi 0.169 0.669 0.500
Bi 0.331 0.169 0.500
Bi 0.669 0.831 0.500
Bi 0.831 0.331 0.500

Summary:
V, Å³ per cell: 265.6
N(E_F), states/eV per atom: 0.737

Computed relative energies in units of meV per atom: <i> 15; <ii> 0

<i>
A relaxed HoInBi2 crystal, computed with GGA-PBE.

abc: 4.189 4.189 6.697
angles: 90.00 90.00 90.00
Fractional coordinates of all 4 atoms:
Ho 0.000 0.000 0.000
In 0.000 0.000 0.500
Bi 0.500 0.500 0.238
Bi 0.500 0.500 0.762

Summary:
V, Å³ per cell: 117.5
N(E_F), states/eV per atom: 0.744

<ii>
A relaxed HoInBi2 crystal, computed with GGA-PBE.

abc: 8.152 8.152 8.152
angles: 31.21 31.21 31.21
Fractional coordinates of all 4 atoms:
Ho 0.000 0.000 0.000
In 0.500 0.500 0.500
Bi 0.250 0.250 0.250
Bi 0.750 0.750 0.750

Summary:
V, Å³ per cell: 129.0
N(E_F), states/eV per atom: 0.685

<iii>
A relaxed HoInBi2 crystal, computed with GGA-PBE.

abc: 7.434 7.434 7.434
angles: 37.08 37.08 37.08
Fractional coordinates of all 4 atoms:
Ho 0.000 0.000 0.000
In 0.832 0.832 0.832
Bi 0.413 0.413 0.413
Bi 0.592 0.592 0.592

Summary:
V, Å³ per cell: 133.8
N(E_F), states/eV per atom: 0.618

Computed relative energies in units of meV per atom: <i> 0; <ii> 158; <iii> 167

<i>
A relaxed Ho8Bi2Ir3 crystal, computed with GGA-PBE.

abc: 9.082 4.841 9.083
angles: 90.00 115.16 90.00
Fractional coordinates of all 13 atoms:
Ho 0.105 0.000 0.395
Ho 0.147 0.500 0.862
Ho 0.362 0.500 0.647
Ho 0.390 0.000 0.110
Ho 0.610 0.000 0.890
Ho 0.638 0.500 0.353
Ho 0.853 0.500 0.138
Ho 0.895 0.000 0.605
Bi 0.244 0.500 0.257
Bi 0.756 0.500 0.743
Ir 0.250 0.000 0.750
Ir 0.500 0.500 0.000
Ir 0.750 0.000 0.250

Summary:
V, Å³ per cell: 361.5
N(E_F), states/eV per atom: 0.472

<ii>
A relaxed Ho8Bi2Ir3 crystal, computed with GGA-PBE.

abc: 8.960 8.960 6.825
angles: 104.46 104.46 53.00
Fractional coordinates of all 13 atoms:
Ho 0.089 0.089 0.376
Ho 0.158 0.636 0.105
Ho 0.364 0.842 0.895
Ho 0.404 0.404 0.596
Ho 0.596 0.596 0.404
Ho 0.636 0.158 0.105
Ho 0.842 0.364 0.895
Ho 0.911 0.911 0.624
Bi 0.243 0.243 0.168
Bi 0.757 0.757 0.832
Ir 0.245 0.755 0.500
Ir 0.500 0.500 0.000
Ir 0.755 0.245 0.500

Summary:
V, Å³ per cell: 420.2
N(E_F), states/eV per atom: 0.477

Computed relative energies in units of meV per atom: <i> 0; <ii> 59

<i>
A relaxed LaHo2Bi crystal, computed with GGA-PBE.

abc: 4.955 4.955 4.897
angles: 90.00 90.00 90.00
Fractional coordinates of all 4 atoms:
La 0.000 0.000 0.000
Ho 0.000 0.500 0.500
Ho 0.500 0.000 0.500
Bi 0.500 0.500 0.000

Summary:
V, Å³ per cell: 120.2
N(E_F), states/eV per atom: 1.312

<ii>
A relaxed LaHo2Bi crystal, computed with GGA-PBE.

abc: 4.041 4.041 7.562
angles: 90.00 90.00 90.00
Fractional coordinates of all 4 atoms:
La 0.000 0.000 0.000
Ho 0.500 0.500 0.281
Ho 0.500 0.500 0.719
Bi 0.000 0.000 0.500

Summary:
V, Å³ per cell: 123.5
N(E_F), states/eV per atom: 1.479

Computed relative energies in units of meV per atom: <i> 0; <ii> 39

<i>
A relaxed LaHoBi2 crystal, computed with GGA-PBE.

abc: 4.594 4.594 7.915
angles: 106.91 106.91 60.05
Fractional coordinates of all 4 atoms:
La 0.000 0.000 0.000
Ho 0.500 0.500 0.500
Bi 0.245 0.245 0.736
Bi 0.755 0.755 0.264

Summary:
V, Å³ per cell: 136.3
N(E_F), states/eV per atom: 0.156

<ii>
A relaxed LaHoBi2 crystal, computed with GGA-PBE.

abc: 8.218 8.218 8.218
angles: 32.16 32.16 32.16
Fractional coordinates of all 4 atoms:
La 0.000 0.000 0.000
Ho 0.171 0.171 0.171
Bi 0.422 0.422 0.422
Bi 0.583 0.583 0.583

Summary:
V, Å³ per cell: 139.8
N(E_F), states/eV per atom: 0.105

Computed relative energies in units of meV per atom: <i> 0; <ii> 119

<i>
A relaxed HoLuBi crystal, computed with GGA-PBE.

abc: 5.218 5.218 3.777
angles: 90.00 90.00 120.00
Fractional coordinates of all 3 atoms:
Ho 0.000 0.000 0.000
Lu 0.333 0.667 0.464
Bi 0.667 0.333 0.704

Summary:
V, Å³ per cell: 89.0
N(E_F), states/eV per atom: 0.986

<ii>
A relaxed HoLuBi crystal, computed with GGA-PBE.

abc: 6.083 6.083 6.083
angles: 141.71 141.71 55.26
Fractional coordinates of all 3 atoms:
Ho 0.000 0.000 0.000
Lu 0.316 0.316 0.000
Bi 0.661 0.661 0.000

Summary:
V, Å³ per cell: 85.8
N(E_F), states/eV per atom: 0.634

Computed relative energies in units of meV per atom: <i> 190; <ii> 0